No. 1
MnHg2Mo | PBE-GGA | relaxed

abc: 2.913 4.151 5.957
angles: 90.00 90.00 90.00
Fractional coordinates of all 4 atoms:
Mn 0.000 0.000 0.000
Hg 0.500 0.500 0.247
Hg 0.500 0.500 0.753
Mo 0.000 0.000 0.500

Summary:
The energy above the lowest structure with this stoichiometry comes out at 176 meV/atom. As for the symmetry: Pmmm.

No. 2
MnHg2Mo | PBE-GGA | relaxed

abc: 5.062 5.062 5.062
angles: 130.82 130.82 72.10
Fractional coordinates of all 4 atoms:
Mn 0.000 0.000 0.000
Hg 0.250 0.750 0.500
Hg 0.750 0.250 0.500
Mo 0.500 0.500 0.000

Summary:
The energy above the lowest structure with this stoichiometry comes out at 203 meV/atom. As for the symmetry: I4/mmm.

No. 3
MnHgMo2 | PBE-GGA | relaxed

abc: 3.303 3.303 6.021
angles: 90.00 90.00 90.00
Fractional coordinates of all 4 atoms:
Mn 0.000 0.000 0.000
Hg 0.000 0.000 0.500
Mo 0.500 0.500 0.196
Mo 0.500 0.500 0.804

Summary:
As for the symmetry: P4/mmm. As for the electronic total energy: -7.39 eV/atom.

No. 4
MnHgMo2 | PBE-GGA | relaxed

abc: 5.252 5.252 2.723
angles: 95.74 95.74 117.91
Fractional coordinates of all 4 atoms:
Mn 0.000 0.000 0.000
Hg 0.500 0.500 0.000
Mo 0.000 0.500 0.500
Mo 0.500 0.000 0.500

Summary:
As for the symmetry: C2/m. As for the electronic total energy: -7.28 eV/atom.

No. 5
MnHg2Mo | PBE-GGA | relaxed

abc: 5.101 5.101 5.108
angles: 103.88 103.88 34.51
Fractional coordinates of all 4 atoms:
Mn 0.000 0.000 0.000
Hg 0.529 0.529 0.539
Hg 0.757 0.757 0.268
Mo 0.293 0.293 0.805

Summary:
The energy above the lowest structure with this stoichiometry comes out at 165 meV/atom. As for the symmetry: Cm.

No. 6
Mn2HgMo | PBE-GGA | relaxed

abc: 2.760 2.760 7.962
angles: 90.00 90.00 90.00
Fractional coordinates of all 4 atoms:
Mn 0.000 0.000 0.000
Mn 0.500 0.500 0.191
Hg 0.500 0.500 0.725
Mo 0.000 0.000 0.429

Summary:
As for the symmetry: P4mm. As for the electronic total energy: -7.01 eV/atom.

No. 7
MnHgMo2 | PBE-GGA | relaxed

abc: 9.254 9.254 9.254
angles: 18.15 18.15 18.15
Fractional coordinates of all 4 atoms:
Mn 0.000 0.000 0.000
Hg 0.247 0.247 0.247
Mo 0.488 0.488 0.488
Mo 0.740 0.740 0.740

Summary:
As for the symmetry: R3m. As for the electronic total energy: -7.31 eV/atom.

No. 8
MnHgMo2 | PBE-GGA | relaxed

abc: 4.840 4.840 4.840
angles: 129.94 129.94 73.49
Fractional coordinates of all 4 atoms:
Mn 0.000 0.000 0.000
Hg 0.750 0.250 0.500
Mo 0.250 0.750 0.500
Mo 0.500 0.500 0.000

Summary:
As for the symmetry: I-4m2. As for the electronic total energy: -7.32 eV/atom.

No. 9
MnHg2Mo | PBE-GGA | relaxed

abc: 4.208 4.208 4.099
angles: 90.00 90.00 90.00
Fractional coordinates of all 4 atoms:
Mn 0.000 0.000 0.000
Hg 0.000 0.500 0.500
Hg 0.500 0.000 0.500
Mo 0.500 0.500 0.000

Summary:
The energy above the lowest structure with this stoichiometry comes out at 163 meV/atom. As for the symmetry: P4/mmm.

No. 10
Mn2HgMo | PBE-GGA | relaxed

abc: 5.145 5.145 5.145
angles: 143.08 129.90 63.84
Fractional coordinates of all 4 atoms:
Mn 0.000 0.000 0.000
Mn 0.753 0.253 0.500
Hg 0.490 0.490 0.000
Mo 0.218 0.718 0.500

Summary:
As for the symmetry: Imm2. As for the electronic total energy: -6.92 eV/atom.

No. 11
MnHgMo2 | PBE-GGA | relaxed

abc: 2.793 2.793 8.963
angles: 90.00 90.00 108.60
Fractional coordinates of all 4 atoms:
Mn 0.000 0.000 0.000
Hg 0.500 0.500 0.740
Mo 0.000 0.000 0.460
Mo 0.500 0.500 0.222

Summary:
As for the symmetry: Cmm2. As for the electronic total energy: -7.45 eV/atom.

No. 12
Mn2HgMo | PBE-GGA | relaxed

abc: 8.959 8.959 8.959
angles: 18.37 18.37 18.37
Fractional coordinates of all 4 atoms:
Mn 0.000 0.000 0.000
Mn 0.261 0.261 0.261
Hg 0.758 0.758 0.758
Mo 0.522 0.522 0.522

Summary:
As for the symmetry: R3m. As for the electronic total energy: -6.89 eV/atom.

No. 13
MnHg2Mo | PBE-GGA | relaxed

abc: 5.188 5.188 2.870
angles: 90.00 90.00 110.60
Fractional coordinates of all 4 atoms:
Mn 0.000 0.000 0.000
Hg 0.000 0.500 0.500
Hg 0.500 0.000 0.500
Mo 0.500 0.500 0.000

Summary:
The energy above the lowest structure with this stoichiometry comes out at 153 meV/atom. As for the symmetry: Cmmm.

No. 14
MnHg2Mo | PBE-GGA | relaxed

abc: 5.597 5.597 5.597
angles: 147.72 128.42 62.17
Fractional coordinates of all 4 atoms:
Mn 0.000 0.000 0.000
Hg 0.259 0.759 0.500
Hg 0.537 0.537 0.000
Mo 0.812 0.312 0.500

Summary:
The energy above the lowest structure with this stoichiometry comes out at 160 meV/atom. As for the symmetry: Imm2.

No. 15
Mn4HgMo | PBE-GGA | relaxed

abc: 4.822 4.822 4.822
angles: 60.00 60.00 60.00
Fractional coordinates of all 6 atoms:
Mn 0.376 0.376 0.376
Mn 0.376 0.376 0.872
Mn 0.376 0.872 0.376
Mn 0.872 0.376 0.376
Hg 0.750 0.750 0.750
Mo 0.000 0.000 0.000

Summary:
As for the symmetry: F-43m. As for the electronic total energy: -7.72 eV/atom.

No. 16
Mn2HgMo | PBE-GGA | relaxed

abc: 4.502 4.502 3.109
angles: 90.00 90.00 91.31
Fractional coordinates of all 4 atoms:
Mn 0.000 0.500 0.000
Mn 0.500 0.000 0.000
Hg 0.000 0.000 0.500
Mo 0.500 0.500 0.500

Summary:
As for the symmetry: Cmmm. As for the electronic total energy: -6.92 eV/atom.

No. 17
MnHg2Mo | PBE-GGA | relaxed

abc: 5.050 5.050 5.050
angles: 130.73 130.73 72.24
Fractional coordinates of all 4 atoms:
Mn 0.000 0.000 0.000
Hg 0.500 0.500 0.000
Hg 0.750 0.250 0.500
Mo 0.250 0.750 0.500

Summary:
The energy above the lowest structure with this stoichiometry comes out at 220 meV/atom. As for the symmetry: I-4m2.

No. 18
SrMn2HgMo | PBE-GGA | relaxed

abc: 5.085 5.085 5.339
angles: 90.00 90.00 90.00
Fractional coordinates of all 5 atoms:
Sr 0.000 0.000 0.000
Mn 0.000 0.500 0.500
Mn 0.500 0.000 0.500
Hg 0.500 0.500 0.500
Mo 0.500 0.500 0.000

Summary:
As for the symmetry: P4/mmm. As for the electronic total energy: -5.00 eV/atom.

No. 19
MnHg2TeMo | PBE-GGA | relaxed

abc: 5.409 5.409 4.681
angles: 90.00 90.00 90.00
Fractional coordinates of all 5 atoms:
Mn 0.000 0.000 0.000
Hg 0.000 0.500 0.500
Hg 0.500 0.000 0.500
Te 0.500 0.500 0.000
Mo 0.000 0.000 0.500

Summary:
The uncorrected formation energy comes out at 5.07 eV/f.u. As for the symmetry: P4/mmm.

No. 20
TiMnHgMo2 | PBE-GGA | relaxed

abc: 4.490 4.490 5.049
angles: 90.00 90.00 90.00
Fractional coordinates of all 5 atoms:
Ti 0.000 0.000 0.000
Mn 0.500 0.500 0.500
Hg 0.000 0.000 0.500
Mo 0.000 0.500 0.000
Mo 0.500 0.000 0.000

Summary:
As for the symmetry: P4/mmm. As for the electronic total energy: -5.96 eV/atom.

No. 21
MnHgMo2W | PBE-GGA | relaxed

abc: 4.776 4.776 4.690
angles: 90.00 90.00 90.00
Fractional coordinates of all 5 atoms:
Mn 0.000 0.000 0.000
Hg 0.500 0.500 0.000
Mo 0.000 0.500 0.500
Mo 0.500 0.000 0.500
W 0.000 0.000 0.500

Summary:
As for the symmetry: P4/mmm. As for the electronic total energy: -7.25 eV/atom.

No. 22
Y2MnHgMo | PBE-GGA | relaxed

abc: 5.077 5.077 5.011
angles: 90.00 90.00 90.00
Fractional coordinates of all 5 atoms:
Y 0.000 0.500 0.000
Y 0.500 0.000 0.000
Mn 0.000 0.000 0.000
Hg 0.000 0.000 0.500
Mo 0.500 0.500 0.500

Summary:
As for the symmetry: P4/mmm. As for the electronic total energy: -5.78 eV/atom.

No. 23
MnZn2HgMo | PBE-GGA | relaxed

abc: 4.832 4.832 5.351
angles: 90.00 90.00 90.00
Fractional coordinates of all 5 atoms:
Mn 0.000 0.000 0.000
Zn 0.000 0.500 0.500
Zn 0.500 0.000 0.500
Hg 0.500 0.500 0.500
Mo 0.500 0.500 0.000

Summary:
As for the symmetry: P4/mmm. As for the electronic total energy: -3.07 eV/atom.

No. 24
MnHgN2 | PBE-GGA | relaxed

abc: 5.630 5.630 5.630
angles: 60.00 60.00 60.00
Fractional coordinates of all 8 atoms:
Mn 0.125 0.125 0.125
Mn 0.875 0.875 0.875
Hg 0.375 0.375 0.375
Hg 0.625 0.625 0.625
N 0.000 0.000 0.000
N 0.000 0.000 0.500
N 0.000 0.500 0.000
N 0.500 0.000 0.000

Summary:
The uncorrected formation energy comes out at 1.09 eV/f.u. As for the symmetry: Fd-3m.

No. 25
MnHgN2 | PBE-GGA | relaxed

abc: 6.397 6.397 6.397
angles: 27.65 27.65 27.65
Fractional coordinates of all 4 atoms:
Mn 0.000 0.000 0.000
Hg 0.500 0.500 0.500
N 0.386 0.386 0.386
N 0.614 0.614 0.614

Summary:
The uncorrected formation energy comes out at 1.29 eV/f.u. As for the symmetry: R-3m.

No. 26
MnHg3N | PBE-GGA | relaxed

abc: 5.045 5.045 5.045
angles: 90.00 90.00 90.00
Fractional coordinates of all 5 atoms:
Mn 0.000 0.000 0.000
Hg 0.000 0.000 0.500
Hg 0.000 0.500 0.000
Hg 0.500 0.000 0.000
N 0.500 0.500 0.500

Summary:
The energy above the lowest structure with this stoichiometry comes out at 846 meV/atom. The uncorrected formation energy comes out at 9.70 eV/f.u. As for the symmetry: Pm-3m.

No. 27
MnHg3N | PBE-GGA | relaxed

abc: 4.760 4.760 4.760
angles: 90.00 90.00 90.00
Fractional coordinates of all 5 atoms:
Mn 0.000 0.000 0.000
Hg 0.000 0.500 0.500
Hg 0.500 0.000 0.500
Hg 0.500 0.500 0.000
N 0.500 0.500 0.500

Summary:
The energy above the lowest structure with this stoichiometry comes out at 0 meV/atom. The uncorrected formation energy comes out at 5.47 eV/f.u. As for the symmetry: Pm-3m.

No. 28
Mn3HgN | PBE-GGA | relaxed

abc: 5.075 5.075 5.075
angles: 90.00 90.00 90.00
Fractional coordinates of all 5 atoms:
Mn 0.000 0.000 0.500
Mn 0.000 0.500 0.000
Mn 0.500 0.000 0.000
Hg 0.000 0.000 0.000
N 0.500 0.500 0.500

Summary:
The uncorrected formation energy comes out at 10.29 eV/f.u. As for the symmetry: Pm-3m.

No. 29
Mn3HgN | PBE-GGA | relaxed

abc: 4.035 4.035 4.035
angles: 90.00 90.00 90.00
Fractional coordinates of all 5 atoms:
Mn 0.000 0.000 0.500
Mn 0.000 0.500 0.000
Mn 0.500 0.000 0.000
Hg 0.500 0.500 0.500
N 0.000 0.000 0.000

Summary:
The uncorrected formation energy comes out at -0.28 eV/f.u. As for the symmetry: Pm-3m.

No. 30
MnHgN2 | PBE-GGA | relaxed

abc: 6.372 6.372 6.372
angles: 31.27 31.27 31.27
Fractional coordinates of all 4 atoms:
Mn 0.000 0.000 0.000
Hg 0.500 0.500 0.500
N 0.096 0.096 0.096
N 0.904 0.904 0.904

Summary:
The uncorrected formation energy comes out at 5.03 eV/f.u. As for the symmetry: R-3m.